# 1
Here is crystalline CaSm3Er at its relaxed geometry from Alexandria via LeMat-Bulk. Energies are from PBE-GGA.

Spin magnetization in μB per cell: 0.0
N(E_F) in states/eV per atom: 1.41
Relative energy among the computed polymorphs in meV/atom: 0
Energy of formation from the pure elements in meV/atom: 329
Final energy in Ha/atom: -0.140

a b c (Å): 9.6430 9.6430 6.3933
angles (deg): 90.00 90.00 139.37
Closest atoms and distances in Å follow each position.
Fractional positions:
Ca (0.1844, 0.8156, 0.7500)  8 Sm 3.66-3.75
Ca (0.8156, 0.1844, 0.2500)  8 Sm 3.66-3.75
Sm (0.0000, 0.0000, 0.0000)  6 Sm 3.20-3.38
Sm (0.0000, 0.0000, 0.5000)  6 Sm 3.20-3.38
Sm (0.1266, 0.3939, 0.7500)  4 Sm 3.21-3.49
Sm (0.3939, 0.1266, 0.2500)  4 Sm 3.21-3.49
Sm (0.6061, 0.8734, 0.7500)  4 Sm 3.21-3.49
Sm (0.8734, 0.6061, 0.2500)  4 Sm 3.21-3.49
Er (0.4531, 0.5469, 0.2500)  2 Er 3.62, 10 Sm 3.64-3.91
Er (0.5469, 0.4531, 0.7500)  2 Er 3.62, 10 Sm 3.64-3.91


# 2
Here is crystalline Zr2HgGeW at its relaxed geometry from Alexandria via LeMat-Bulk. Energies are from PBE-GGA.

Spin magnetization in μB per cell: 0.0
N(E_F) in states/eV per atom: 0.30
Energy of formation from the pure elements in meV/atom: 619
Final energy in Ha/atom: -0.234

a b c (Å): 5.0253 5.0253 4.6194
angles (deg): 90.00 90.00 90.00
Closest atoms and distances in Å follow each position.
Fractional positions:
Zr (0.0000, 0.5000, 0.0000)  2 Ge 2.51
Zr (0.5000, 0.0000, 0.0000)  2 Ge 2.51
Hg (0.0000, 0.0000, 0.5000)  8 Zr 3.41, 4 W 3.55
Ge (0.5000, 0.5000, 0.0000)  2 W 2.31, 4 Zr 2.51
W (0.5000, 0.5000, 0.5000)  2 Ge 2.31